Record 1
Computed, not measured: a relaxed LiPtRh4 crystal at the GGA-PBE level of DFT.

Cell lengths 5.0919, 5.0919, 5.0919 Å; angles 60.00, 60.00, 60.00 degrees
Atoms (fractional coordinates):
Li1 0.0000 0.0000 0.0000
Pt1 0.7500 0.7500 0.7500
Rh1 0.3749 0.3749 0.3749
Rh2 0.3749 0.3749 0.8752
Rh3 0.3749 0.8752 0.3749
Rh4 0.8752 0.3749 0.3749

Computed properties:
Fermi-level density of states   11.8 states/eV/cell
Energy of formation from the pure elements   0.249 eV/atom
V   93 Å³/cell

Record 2
Computed, not measured: a relaxed CaRh2 crystal at the GGA-PBE level of DFT.

Cell lengths 5.3520, 5.3520, 5.3520 Å; angles 60.00, 60.00, 60.00 degrees
Atoms (fractional coordinates):
Ca1 0.1250 0.1250 0.1250
Ca2 0.8750 0.8750 0.8750
Rh1 0.0000 0.5000 0.5000
Rh2 0.5000 0.0000 0.5000
Rh3 0.5000 0.5000 0.0000
Rh4 0.5000 0.5000 0.5000

Computed properties:
Fermi-level density of states   8.0 states/eV/cell
Energy of formation from the pure elements   -0.434 eV/atom
V   108 Å³/cell

Record 3
Computed, not measured: a relaxed Ce3NiSn crystal at the GGA-PBE level of DFT.

Cell lengths 5.2247, 5.2247, 5.2247 Å; angles 90.00, 90.00, 90.00 degrees
Atoms (fractional coordinates):
Ce1 0.0000 0.0000 0.5000
Ce2 0.0000 0.5000 0.0000
Ce3 0.5000 0.0000 0.0000
Ni1 0.0000 0.0000 0.0000
Sn1 0.5000 0.5000 0.5000

Computed properties:
Fermi-level density of states   15.3 states/eV/cell
Energy of formation from the pure elements   -0.251 eV/atom
Energy above the most stable polymorph in this dataset   160 meV/atom
V   143 Å³/cell

Record 4
Computed, not measured: a relaxed Mn2BeIr crystal at the GGA-PBE level of DFT.

Cell lengths 2.6337, 4.0105, 4.4575 Å; angles 90.00, 90.00, 90.00 degrees
Atoms (fractional coordinates):
Mn1 0.0000 0.0000 0.0000
Mn2 0.0000 0.5000 0.2876
Be1 0.5000 0.5000 0.8154
Ir1 0.5000 0.0000 0.5165

Computed properties:
Fermi-level density of states   2.9 states/eV/cell
Energy of formation from the pure elements   -0.131 eV/atom
V   47 Å³/cell

Record 5
Computed, not measured: a relaxed Ga2RhAu crystal at the GGA-PBE level of DFT.

Cell lengths 4.4121, 4.4121, 3.2056 Å; angles 90.00, 90.00, 90.00 degrees
Atoms (fractional coordinates):
Ga1 0.0000 0.5000 0.0000
Ga2 0.5000 0.0000 0.0000
Rh1 0.0000 0.0000 0.5000
Au1 0.5000 0.5000 0.5000

Computed properties:
Fermi-level density of states   1.4 states/eV/cell
Energy of formation from the pure elements   -0.296 eV/atom
Energy above the most stable polymorph in this dataset   44 meV/atom
V   62 Å³/cell

Record 6
Computed, not measured: a relaxed Ti5Pd2RuRh2 crystal at the GGA-PBE level of DFT.

Cell lengths 10.5365, 10.5365, 2.9714 Å; angles 90.00, 90.00, 90.00 degrees
Atoms (fractional coordinates):
Ti1 0.0000 0.5000 0.0000
Ti2 0.1257 0.1600 0.0000
Ti3 0.1600 0.8743 0.0000
Ti4 0.3400 0.3743 0.0000
Ti5 0.3743 0.6600 0.0000
Ti6 0.5000 0.0000 0.0000
Ti7 0.6257 0.3400 0.0000
Ti8 0.6600 0.6257 0.0000
Ti9 0.8400 0.1257 0.0000
Ti10 0.8743 0.8400 0.0000
Pd1 0.1550 0.6550 0.5000
Pd2 0.3450 0.1550 0.5000
Pd3 0.6550 0.8450 0.5000
Pd4 0.8450 0.3450 0.5000
Ru1 0.0000 0.0000 0.5000
Ru2 0.5000 0.5000 0.5000
Rh1 0.1423 0.3577 0.5000
Rh2 0.3577 0.8577 0.5000
Rh3 0.6423 0.1423 0.5000
Rh4 0.8577 0.6423 0.5000

Computed properties:
Fermi-level density of states   16.9 states/eV/cell
Energy of formation from the pure elements   -0.430 eV/atom
V   330 Å³/cell

Record 7
Computed, not measured: a relaxed Ac3NiI3 crystal at the GGA-PBE level of DFT.

Cell lengths 9.9254, 4.3233, 13.3031 Å; angles 90.00, 92.35, 90.00 degrees
Atoms (fractional coordinates):
Ac1 0.0841 0.2500 0.3898
Ac2 0.1277 0.2500 0.8457
Ac3 0.3170 0.7500 0.6244
Ac4 0.6830 0.2500 0.3756
Ac5 0.8723 0.7500 0.1543
Ac6 0.9159 0.7500 0.6102
Ni1 0.1196 0.2500 0.6246
Ni2 0.8804 0.7500 0.3754
I1 0.1360 0.2500 0.1146
I2 0.3842 0.7500 0.3686
I3 0.3910 0.7500 0.8790
I4 0.6090 0.2500 0.1210
I5 0.6158 0.2500 0.6314
I6 0.8640 0.7500 0.8854

Computed properties:
Fermi-level density of states   9.9 states/eV/cell
V   570 Å³/cell
Formation energy from raw total energies   -1.00 eV per atom

Record 8
Computed, not measured: a relaxed ScIn2PdN crystal at the GGA-PBE level of DFT.

Cell lengths 5.5893, 5.5893, 4.6834 Å; angles 90.00, 90.00, 90.00 degrees
Atoms (fractional coordinates):
Sc1 0.0000 0.0000 0.0000
In1 0.0000 0.5000 0.0000
In2 0.5000 0.0000 0.0000
Pd1 0.0000 0.0000 0.5000
N1 0.5000 0.5000 0.5000

Computed properties:
Fermi-level density of states   4.0 states/eV/cell
V   146 Å³/cell
Formation energy from raw total energies   1.59 eV per atom

Record 9
Computed, not measured: a relaxed La3TbNd6Y2 crystal at the GGA-PBE level of DFT.

Cell lengths 6.3660, 6.3660, 12.1477 Å; angles 95.03, 95.03, 120.05 degrees
Atoms (fractional coordinates):
La1 0.0000 0.0000 0.0000
La2 0.3334 0.6666 0.0000
La3 0.6666 0.3334 0.0000
Tb1 0.5000 0.5000 0.5000
Nd1 0.0858 0.4185 0.2552
Nd2 0.2488 0.2488 0.7448
Nd3 0.4185 0.0858 0.2552
Nd4 0.5815 0.9142 0.7448
Nd5 0.7512 0.7512 0.2552
Nd6 0.9142 0.5815 0.7448
Y1 0.1667 0.8333 0.5000
Y2 0.8333 0.1667 0.5000

Computed properties:
Fermi-level density of states   19.9 states/eV/cell
Energy of formation from the pure elements   0.017 eV/atom
V   420 Å³/cell

Record 10
Computed, not measured: a relaxed MnInHg crystal at the GGA-PBE level of DFT.

Cell lengths 6.7196, 6.7196, 6.7196 Å; angles 153.28, 153.28, 38.15 degrees
Atoms (fractional coordinates):
Mn1 0.0000 0.0000 0.0000
In1 0.3505 0.3505 0.0000
Hg1 0.6519 0.6519 0.0000

Computed properties:
Fermi-level density of states   1.5 states/eV/cell
Energy of formation from the pure elements   0.247 eV/atom
Energy above the most stable polymorph in this dataset   0 meV/atom
V   61 Å³/cell

Record 11
Computed, not measured: a relaxed InSnSb crystal at the GGA-PBE level of DFT.

Cell lengths 11.3965, 11.3965, 11.3965 Å; angles 22.14, 22.14, 22.14 degrees
Atoms (fractional coordinates):
In1 0.0000 0.0000 0.0000
In2 0.1638 0.1638 0.1638
Sn1 0.3925 0.3925 0.3925
Sn2 0.8930 0.8930 0.8930
Sb1 0.6099 0.6099 0.6099
Sb2 0.7746 0.7746 0.7746

Computed properties:
Fermi-level density of states   1.9 states/eV/cell
Energy above the most stable polymorph in this dataset   13 meV/atom
V   184 Å³/cell
Formation energy from raw total energies   0.01 eV per atom

Record 12
Computed, not measured: a relaxed CsGeTe3 crystal at the GGA-PBE level of DFT.

Cell lengths 5.6638, 5.6638, 5.6638 Å; angles 90.00, 90.00, 90.00 degrees
Atoms (fractional coordinates):
Cs1 0.0000 0.0000 0.0000
Ge1 0.5000 0.5000 0.5000
Te1 0.0000 0.5000 0.5000
Te2 0.5000 0.0000 0.5000
Te3 0.5000 0.5000 0.0000

Computed properties:
Fermi-level density of states   6.3 states/eV/cell
V   182 Å³/cell
Formation energy from raw total energies   -0.15 eV per atom